Record 1
{"formula": "Mn", "functional": "PBE", "state": "relaxed", "ef_ev_per_atom": 0.96, "polymorph_energy_ev_per_atom": 0.9641, "dos_ef_per_ev_fu": 1.35, "rho_g_cm3": 5.82, "cell": [[4.671, 0.000, 0.000], [-1.557, 4.403, 0.000], [-1.557, -2.202, 3.813]], "species": ["Mn", "Mn", "Mn", "Mn", "Mn"], "frac_coords": [[0.000, 0.000, 0.000], [0.500, 0.500, 0.500], [0.000, 0.000, 0.500], [0.500, 0.000, 0.000], [0.000, 0.500, 0.000]]}

Record 2
{"formula": "Mn", "functional": "PBE", "state": "relaxed", "ef_ev_per_atom": 0.68, "polymorph_energy_ev_per_atom": 0.6785, "dos_ef_per_ev_fu": 1.61, "rho_g_cm3": 7.63, "cell": [[-0.215, 0.395, 3.306], [-0.444, -2.509, -2.155], [3.312, 0.283, -0.289]], "species": ["Mn", "Mn"], "frac_coords": [[0.250, 0.750, 0.500], [0.000, 0.000, 0.000]]}

Record 3
{"formula": "Mn", "functional": "PBE", "state": "relaxed", "ef_ev_per_atom": 1.46, "polymorph_energy_ev_per_atom": 1.4645, "dos_ef_per_ev_fu": 1.33, "rho_g_cm3": 3.81, "cell": [[7.265, 0.000, 0.000], [0.000, 7.265, 0.000], [0.000, 0.000, 7.265]], "species": ["Mn", "Mn", "Mn", "Mn", "Mn", "Mn", "Mn", "Mn", "Mn", "Mn", "Mn", "Mn", "Mn", "Mn", "Mn", "Mn"], "frac_coords": [[0.194, 0.194, 0.194], [0.194, 0.806, 0.806], [0.806, 0.194, 0.806], [0.806, 0.806, 0.194], [0.694, 0.694, 0.694], [0.694, 0.306, 0.306], [0.306, 0.694, 0.306], [0.306, 0.306, 0.694], [0.375, 0.375, 0.375], [0.375, 0.625, 0.625], [0.625, 0.375, 0.625], [0.625, 0.625, 0.375], [0.875, 0.875, 0.875], [0.875, 0.125, 0.125], [0.125, 0.875, 0.125], [0.125, 0.125, 0.875]]}

Record 4
{"formula": "Mn", "functional": "PBE", "state": "relaxed", "ef_ev_per_atom": 0.07, "polymorph_energy_ev_per_atom": 0.0744, "dos_ef_per_ev_fu": 1.29, "rho_g_cm3": 8.48, "cell": [[-0.042, -1.628, 1.882], [3.512, 1.834, 1.664], [-6.952, 7.536, 6.366]], "species": ["Mn", "Mn", "Mn", "Mn", "Mn", "Mn", "Mn", "Mn", "Mn", "Mn", "Mn", "Mn"], "frac_coords": [[0.000, 0.498, 0.750], [0.000, 0.833, 0.917], [0.000, 0.167, 0.417], [0.000, 0.167, 0.083], [0.000, 0.502, 0.250], [0.000, 0.833, 0.583], [0.500, 0.998, 0.750], [0.500, 0.002, 0.250], [0.500, 0.333, 0.917], [0.500, 0.333, 0.583], [0.500, 0.667, 0.083], [0.500, 0.667, 0.417]]}

Question: Which formula does entry 3 have?
Answer: Mn